# 1
Density functional theory data (PBE) for a geometry-optimized K5Rb3Hg12 structure.

Geometry as extended XYZ:
```
80
Lattice="17.518 0.000 0.000 -5.839 16.516 0.000 -5.839 -8.258 14.303" Properties=species:S:1:pos:R:3 pbc="T T T"
Hg 5.952 -1.733 13.316
Hg -4.893 7.177 8.443
Hg -3.281 -6.350 13.012
Hg -5.141 14.049 2.298
Hg 0.361 6.201 6.145
Hg -0.946 0.406 3.286
Hg 0.946 9.745 9.146
Hg 5.952 1.721 13.296
Hg 11.791 8.269 1.994
Hg 9.120 3.965 4.853
Hg 11.317 1.908 1.291
Hg -0.698 9.163 6.164
Hg 8.061 2.467 2.298
Hg 2.222 0.905 8.139
Hg 3.618 7.353 6.164
Hg -3.281 4.293 9.450
Hg 2.559 10.315 6.145
Hg 1.973 6.771 9.146
Hg -2.807 0.011 12.309
Hg 6.785 7.852 11.018
Hg -5.952 -0.011 12.309
Hg 3.033 6.525 0.987
Hg -2.222 5.791 12.005
Hg 12.377 3.372 3.866
Hg 10.981 -5.791 12.005
Hg 12.040 -4.293 9.450
Hg -0.113 9.991 0.987
Hg 2.807 -1.721 13.296
Hg 6.537 -0.905 8.139
Hg -5.478 6.350 13.012
Hg 8.646 8.247 1.994
Hg -0.113 6.537 1.007
Hg 2.807 1.733 13.316
Hg -1.973 -1.081 5.860
Hg -6.537 4.886 10.437
Hg 9.705 -0.406 3.286
Hg 4.893 -1.487 5.157
Hg 8.061 13.144 3.866
Hg 5.478 2.057 8.158
Hg 7.813 9.339 8.443
Hg 9.120 14.608 1.291
Hg -6.200 12.551 4.853
Hg 3.866 1.487 5.157
Hg -2.222 -4.886 10.437
Hg 10.732 1.081 5.860
Hg 3.033 9.979 1.007
Hg 3.281 -2.057 8.158
Hg -3.866 8.664 11.018
K 4.379 12.387 3.576
K -2.920 8.258 0.000
K -1.460 13.419 1.788
K 2.920 4.129 7.152
K 1.460 5.161 12.515
K -4.379 9.290 5.364
K 7.299 4.129 10.727
K 4.379 3.097 1.788
K 5.839 -4.129 7.152
K 8.759 0.000 0.000
K -1.460 1.032 8.940
K 7.299 7.226 5.364
K -1.460 4.129 3.576
K 0.000 0.000 0.000
K 7.299 -5.161 12.515
K 10.219 -1.032 8.940
K -5.839 4.129 7.152
K 5.839 8.258 0.000
K -2.920 -4.129 7.152
K 1.460 -4.129 10.727
Rb 1.460 -1.032 5.364
Rb 4.379 0.000 10.727
Rb 10.219 5.161 1.788
Rb 4.379 9.290 8.940
Rb -4.379 -3.097 12.515
Rb -1.460 7.226 8.940
Rb 1.460 8.258 3.576
Rb -4.379 3.097 12.515
Rb 7.299 1.032 5.364
Rb 10.219 11.355 1.788
Rb 13.138 0.000 3.576
Rb -7.299 8.258 10.727
```

## Properties
Magnetic moment in μB/atom: 0.000
N(E_F) in states/eV/f.u.: 15.33
DFT formation energy in eV per atom: -0.12
Total DFT energy (no corrections) in eV/atom: -0.72

---

# 2
Density functional theory data (PBE) for a geometry-optimized Tb7Pr2Sc structure.

Geometry as extended XYZ:
```
10
Lattice="-0.880 -1.474 -3.007 -7.481 -10.437 7.304 1.480 13.024 -6.815" Properties=species:S:1:pos:R:3 pbc="T T T"
Tb -3.441 0.556 -1.259
Tb -0.172 8.700 -4.213
Tb -5.841 -1.013 0.212
Tb -2.748 -2.346 -0.040
Tb -4.133 3.459 -2.479
Tb -1.040 2.126 -2.731
Tb -5.829 -6.114 4.702
Pr -1.596 5.385 -4.165
Pr -5.285 -4.272 1.647
Sc 0.000 0.000 0.000
```

## Properties
Magnetic moment in μB/atom: 0.000
N(E_F) in states/eV/f.u.: 15.93
DFT formation energy in eV per atom: 0.17
Total DFT energy (no corrections) in eV/atom: -4.66

---

# 3
Density functional theory data (PBE) for a geometry-optimized Cu2ReAu structure.

Geometry as extended XYZ:
```
4
Lattice="4.806 -0.023 0.000 -1.441 4.585 0.000 0.000 0.000 2.605" Properties=species:S:1:pos:R:3 pbc="T T T"
Cu 0.000 0.000 0.000
Cu 1.683 2.281 0.000
Re 2.403 -0.011 1.303
Au -0.720 2.292 1.303
```

## Properties
Magnetic moment in μB/atom: 0.000
N(E_F) in states/eV/f.u.: 3.13
DFT formation energy in eV per atom: 0.37
Polymorph energy (0 for the lowest one) in meV/atom: 157.0
Total DFT energy (no corrections) in eV/atom: -5.61

---

# 4
Density functional theory data (PBE) for a geometry-optimized AcAgAs2 structure.

Geometry as extended XYZ:
```
4
Lattice="-3.260 1.266 -2.474 -2.862 0.122 3.834 1.203 4.571 0.752" Properties=species:S:1:pos:R:3 pbc="T T T"
Ag -1.630 0.633 -1.237
As 0.602 2.285 0.376
As -1.431 0.061 1.917
Ac -2.459 2.979 1.056
```

## Properties
Magnetic moment in μB/atom: 0.000
N(E_F) in states/eV/f.u.: 1.86
DFT formation energy in eV per atom: -0.51
Polymorph energy (0 for the lowest one) in meV/atom: 264.7
Total DFT energy (no corrections) in eV/atom: -4.57

---

# 5
Density functional theory data (PBE) for a geometry-optimized Sn2AsRu2 structure.

Geometry as extended XYZ:
```
10
Lattice="7.585 0.000 0.000 0.000 7.585 0.000 0.000 0.000 3.168" Properties=species:S:1:pos:R:3 pbc="T T T"
As 3.792 3.792 0.000
As 0.000 0.000 0.000
Sn 2.660 1.132 1.584
Sn 4.924 6.452 1.584
Sn 1.132 4.924 1.584
Sn 6.452 2.660 1.584
Ru 6.455 4.921 0.000
Ru 2.663 6.455 0.000
Ru 1.129 2.663 0.000
Ru 4.921 1.129 0.000
```

## Properties
Magnetic moment in μB/atom: 0.000
N(E_F) in states/eV/f.u.: 3.06
DFT formation energy in eV per atom: 0.07
Total DFT energy (no corrections) in eV/atom: -6.17

---

# 6
Density functional theory data (PBE) for a geometry-optimized CaErPb6 structure.

Geometry as extended XYZ:
```
8
Lattice="-1.742 4.497 -0.821 -2.219 -0.064 4.359 8.036 3.870 4.147" Properties=species:S:1:pos:R:3 pbc="T T T"
Pb 0.923 0.947 3.228
Pb 2.038 4.151 3.843
Pb -1.980 2.216 1.769
Pb 5.133 5.139 2.688
Pb 4.894 2.859 5.278
Pb 1.162 3.227 0.638
Ca 0.000 0.000 0.000
Er 4.018 1.935 2.074
```

## Properties
Magnetic moment in μB/atom: 0.000
N(E_F) in states/eV/f.u.: 3.92
DFT formation energy in eV per atom: -0.29
Total DFT energy (no corrections) in eV/atom: -3.89

---

# 7
Density functional theory data (PBE) for a geometry-optimized Rb3Zn2Se4 structure.

Geometry as extended XYZ:
```
9
Lattice="-1.262 -3.774 -0.666 7.489 -0.956 3.442 -8.118 1.666 5.942" Properties=species:S:1:pos:R:3 pbc="T T T"
Zn -0.847 -2.402 2.992
Zn -1.044 -0.662 5.726
Se -2.947 -0.279 7.163
Se -0.218 -3.051 5.474
Se 1.056 -2.785 1.555
Se -1.674 -0.013 3.244
Rb -4.935 -1.324 4.633
Rb 3.044 -1.739 4.084
Rb 0.000 0.000 0.000
```

## Properties
ΔE_f (raw) in eV/atom: -0.854
Magnetic moment in μB/atom: 0.000
N(E_F) in states/eV/f.u.: 3.29
Polymorph energy (0 for the lowest one) in meV/atom: 7.3
Total DFT energy (no corrections) in eV/atom: -3.01

---

# 8
Density functional theory data (PBE) for a geometry-optimized Er4ThAu5 structure.

Geometry as extended XYZ:
```
10
Lattice="3.550 0.000 0.000 0.000 3.550 0.000 0.000 0.000 18.416" Properties=species:S:1:pos:R:3 pbc="T T T"
Er 0.000 0.000 3.811
Er 0.000 0.000 7.404
Er 0.000 0.000 14.605
Er 0.000 0.000 11.012
Au 1.775 1.775 12.806
Au 1.775 1.775 5.609
Au 1.775 1.775 9.208
Au 1.775 1.775 16.323
Au 1.775 1.775 2.092
Th 0.000 0.000 0.000
```

## Properties
Magnetic moment in μB/atom: 0.000
N(E_F) in states/eV/f.u.: 5.54
DFT formation energy in eV per atom: -0.82
Total DFT energy (no corrections) in eV/atom: -5.03

---

# 9
Density functional theory data (PBE) for a geometry-optimized AgIrSN2 structure.

Geometry as extended XYZ:
```
5
Lattice="-3.344 -1.283 1.134 1.710 -2.376 2.355 -0.127 3.822 3.949" Properties=species:S:1:pos:R:3 pbc="T T T"
Ag -0.881 0.081 3.719
S -0.064 1.911 1.975
N -1.672 -0.641 0.567
N 0.855 -1.188 1.177
Ir 0.000 0.000 0.000
```

## Properties
ΔE_f (raw) in eV/atom: 0.809
Magnetic moment in μB/atom: 0.000
N(E_F) in states/eV/f.u.: 5.06
Polymorph energy (0 for the lowest one) in meV/atom: 0.0
Total DFT energy (no corrections) in eV/atom: -5.69

---

# 10
Density functional theory data (PBE) for a geometry-optimized SrEuPb2 structure.

Geometry as extended XYZ:
```
4
Lattice="-1.590 0.461 -3.340 1.503 -3.209 -1.159 -7.653 -4.666 2.998" Properties=species:S:1:pos:R:3 pbc="T T T"
Pb -1.871 -1.141 0.733
Pb -5.782 -3.525 2.265
Eu -0.044 -1.374 -2.249
Sr -3.870 -3.707 -0.750
```

## Properties
Magnetic moment in μB/atom: 1.744
N(E_F) in states/eV/f.u.: 8.85
DFT formation energy in eV per atom: -0.53
Total DFT energy (no corrections) in eV/atom: -5.37

---

# 11
Density functional theory data (PBE) for a geometry-optimized K2NaTeSe structure.

Geometry as extended XYZ:
```
5
Lattice="6.263 0.000 0.000 0.000 6.263 0.000 0.000 0.000 5.379" Properties=species:S:1:pos:R:3 pbc="T T T"
Te 3.132 3.132 2.689
K 0.000 3.132 0.000
K 3.132 0.000 0.000
Na 0.000 0.000 2.689
Se 0.000 0.000 0.000
```

## Properties
ΔE_f (raw) in eV/atom: -0.732
Magnetic moment in μB/atom: 0.208
N(E_F) in states/eV/f.u.: 7.61
Total DFT energy (no corrections) in eV/atom: -2.76

---

# 12
Density functional theory data (PBE) for a geometry-optimized CdSbP2O8 structure.

Geometry as extended XYZ:
```
12
Lattice="5.293 0.000 0.000 -2.646 4.584 0.000 0.000 0.000 6.749" Properties=species:S:1:pos:R:3 pbc="T T T"
O 2.646 1.528 6.629
O -0.011 1.572 4.837
O 1.291 3.789 4.837
O -1.280 3.807 4.837
O 2.657 3.012 1.912
O 0.000 3.056 0.120
O 3.926 0.777 1.912
O 1.356 0.795 1.912
P 0.000 3.056 5.366
P 2.646 1.528 1.382
Cd 0.000 0.000 0.000
Sb 0.000 0.000 3.374
```

## Properties
ΔE_f (raw) in eV/atom: -1.671
Magnetic moment in μB/atom: 0.000
N(E_F) in states/eV/f.u.: 3.10
Total DFT energy (no corrections) in eV/atom: -6.30

---

# 13
Density functional theory data (PBE) for a geometry-optimized CsIn2Ge2 structure.

Geometry as extended XYZ:
```
10
Lattice="-3.238 8.734 0.540 -7.773 -3.135 4.100 1.491 0.361 3.103" Properties=species:S:1:pos:R:3 pbc="T T T"
In -4.723 6.505 3.444
In -1.555 2.762 2.357
In -4.797 -0.545 4.299
In -7.964 3.197 5.386
Ge -8.164 0.607 3.853
Ge -7.630 5.843 2.987
Ge -2.847 4.991 0.787
Ge -3.381 -0.244 1.653
Cs -5.505 2.799 2.320
Cs 0.000 0.000 0.000
```

## Properties
Magnetic moment in μB/atom: 0.000
N(E_F) in states/eV/f.u.: 2.22
DFT formation energy in eV per atom: 0.12
Polymorph energy (0 for the lowest one) in meV/atom: 174.8
Total DFT energy (no corrections) in eV/atom: -2.99

---

# 14
Density functional theory data (PBE) for a geometry-optimized Ac2ErTiO6 structure.

Geometry as extended XYZ:
```
20
Lattice="-1.869 -5.317 1.723 4.513 -2.533 -2.919 4.752 0.628 6.803" Properties=species:S:1:pos:R:3 pbc="T T T"
Er 4.633 -0.952 1.942
Er -0.935 -2.658 0.861
Ac 2.328 -3.595 1.242
Ac 1.938 -4.912 6.689
Ac 5.068 -3.626 4.365
Ac 5.457 -2.309 -1.082
O 2.829 -3.246 -1.239
O 0.231 -3.020 2.726
O 2.647 -1.363 2.893
O 6.560 -5.656 5.556
O 5.611 -1.208 3.929
O 1.785 -6.013 1.679
O 7.164 -4.201 2.881
O 4.801 -3.134 1.498
O 2.594 -4.087 4.109
O 4.567 -3.975 6.847
O 0.835 -1.565 0.052
O 4.749 -5.859 2.714
Ti 1.441 -2.344 4.263
Ti 2.257 -1.266 -1.459
```

## Properties
ΔE_f (raw) in eV/atom: -3.294
Magnetic moment in μB/atom: 0.100
N(E_F) in states/eV/f.u.: 2.35
Total DFT energy (no corrections) in eV/atom: -8.34

---

# 15
Density functional theory data (PBE) for a geometry-optimized PmHfTi structure.

Geometry as extended XYZ:
```
6
Lattice="3.467 0.000 0.000 0.000 3.455 0.000 0.000 1.728 12.482" Properties=species:S:1:pos:R:3 pbc="T T T"
Pm 2.601 3.455 10.842
Pm 0.867 1.728 1.640
Ti 0.867 1.728 5.667
Ti 2.601 3.455 6.815
Hf 2.601 3.455 3.917
Hf 0.867 1.728 8.565
```

## Properties
Magnetic moment in μB/atom: 0.000
N(E_F) in states/eV/f.u.: 5.33
DFT formation energy in eV per atom: 0.17
Total DFT energy (no corrections) in eV/atom: -7.37

---

# 16
Density functional theory data (PBE) for a geometry-optimized Li7Cd2Pt2 structure.

Geometry as extended XYZ:
```
11
Lattice="-2.388 -0.521 -6.259 4.408 -1.212 -2.724 -1.367 -5.139 -0.194" Properties=species:S:1:pos:R:3 pbc="T T T"
Li 0.147 -5.387 -3.632
Li -1.821 -3.067 -4.525
Li 2.474 -3.804 -4.652
Li -1.194 -0.260 -3.129
Li 0.506 -1.484 -5.544
Li 0.783 -1.794 -0.997
Li -0.130 -5.078 -8.180
Cd 3.150 -2.067 -2.173
Cd -0.109 -4.284 -0.745
Pt 0.460 -2.798 -3.292
Pt 0.193 -4.074 -5.885
```

## Properties
Magnetic moment in μB/atom: 0.000
N(E_F) in states/eV/f.u.: 4.29
DFT formation energy in eV per atom: -0.32
Total DFT energy (no corrections) in eV/atom: -2.80

---

# 17
Density functional theory data (PBE) for a geometry-optimized YErMnRu structure.

Geometry as extended XYZ:
```
4
Lattice="4.895 0.000 0.000 2.448 4.239 0.000 2.448 1.413 3.997" Properties=species:S:1:pos:R:3 pbc="T T T"
Ru 2.448 1.413 0.999
Mn 7.343 4.239 2.998
Er 0.000 0.000 0.000
Y 4.895 2.826 1.998
```

## Properties
Magnetic moment in μB/atom: 0.904
N(E_F) in states/eV/f.u.: 2.64
DFT formation energy in eV per atom: -0.09
Total DFT energy (no corrections) in eV/atom: -7.45